Material: Ac2MnPd3Au12
Method: DFT, GGA-PBE
State: optimized geometry

It has space group R-3m (No. 166, hexagonal axes), with a = 7.1621 Å, b = 7.1621 Å, c = 27.4559 Å, α = 90.00°, β = 90.00° and γ = 120.00°. The asymmetric unit holds Ac at (0.0000, 0.0000, 0.1498), Mn at (0.0000, 0.0000, 0.5000), Pd at (0.0000, 0.5000, 0.0000), Au at (0.0296, 0.5148, 0.1026) and Au at (0.0738, 0.5369, 0.6182).

The density of states at the Fermi level comes out at 8.6 states/eV/f.u. For the formation energy, the calculation gives -101 meV/atom.